{
  "formula": "ZrNbCr",
  "functional": "PBE-GGA",
  "state": "relaxed",
  "spacegroup": "I4mm (107)",
  "dft_energy_ev_per_fu": -27.93,
  "m_tot_mub_per_fu": 0.46,
  "lattice": [[-1.601, 1.601, 5.123], [1.601, -1.601, 5.123], [1.601, 1.601, -5.123]],
  "species": ["Zr", "Nb", "Cr"],
  "fractional_positions": [[0.000, 0.000, 0.000], [0.304, 0.304, 0.000], [0.672, 0.672, 0.000]]
}

***

{
  "formula": "ZrNbCr",
  "functional": "PBE-GGA",
  "state": "relaxed",
  "spacegroup": "Fmmm (69)",
  "dft_energy_ev_per_fu": -27.68,
  "m_tot_mub_per_fu": 0.00,
  "lattice": [[0.000, 4.316, 4.652], [2.686, 0.000, 4.652], [2.686, 4.316, 0.000]],
  "species": ["Zr", "Zr", "Nb", "Nb", "Cr", "Cr"],
  "fractional_positions": [[0.170, 0.830, 0.170], [0.830, 0.170, 0.830], [0.332, 0.332, 0.668], [0.668, 0.668, 0.332], [0.250, 0.250, 0.250], [0.750, 0.750, 0.750]]
}

***

{
  "formula": "ZrNb2Cr",
  "functional": "PBE-GGA",
  "state": "relaxed",
  "spacegroup": "Fm-3m (225)",
  "dft_energy_ev_per_fu": -37.48,
  "m_tot_mub_per_fu": 0.00,
  "lattice": [[0.000, 3.267, 3.267], [3.267, 0.000, 3.267], [3.267, 3.267, 0.000]],
  "species": ["Zr", "Nb", "Nb", "Cr"],
  "fractional_positions": [[0.000, 0.000, 0.000], [0.250, 0.250, 0.250], [0.750, 0.750, 0.750], [0.500, 0.500, 0.500]]
}

***

{
  "formula": "ZrNbCr",
  "functional": "PBE-GGA",
  "state": "relaxed",
  "spacegroup": "P1 (1)",
  "dft_energy_ev_per_fu": -27.68,
  "m_tot_mub_per_fu": 0.00,
  "lattice": [[4.371, 0.000, 0.000], [2.178, 4.935, 0.000], [2.164, 1.444, 4.856]],
  "species": ["Zr", "Zr", "Nb", "Nb", "Cr", "Cr"],
  "fractional_positions": [[0.000, 0.000, 0.000], [0.293, 0.036, 0.379], [0.646, 0.519, 0.186], [0.945, 0.554, 0.559], [0.329, 0.491, 0.852], [0.626, 0.049, 0.699]]
}

***

{
  "formula": "ZrNbCr",
  "functional": "PBE-GGA",
  "state": "relaxed",
  "spacegroup": "P2/m (10)",
  "dft_energy_ev_per_fu": -27.76,
  "m_tot_mub_per_fu": 0.00,
  "lattice": [[4.635, 0.000, 0.000], [0.000, 4.467, 0.000], [-2.088, 0.000, 5.102]],
  "species": ["Zr", "Zr", "Nb", "Nb", "Cr", "Cr"],
  "fractional_positions": [[0.000, 0.000, 0.000], [0.500, 0.500, 0.000], [0.181, 0.500, 0.363], [0.819, 0.500, 0.637], [0.334, 0.000, 0.623], [0.666, 0.000, 0.377]]
}

***

{
  "formula": "ZrNbCr3",
  "functional": "PBE-GGA",
  "state": "relaxed",
  "spacegroup": "Pm-3m (221)",
  "dft_energy_ev_per_fu": -41.28,
  "m_tot_mub_per_fu": 6.79,
  "lattice": [[4.609, 0.000, 0.000], [0.000, 4.609, 0.000], [0.000, 0.000, 4.609]],
  "species": ["Zr", "Nb", "Cr", "Cr", "Cr"],
  "fractional_positions": [[0.000, 0.000, 0.000], [0.500, 0.500, 0.500], [0.000, 0.500, 0.500], [0.500, 0.000, 0.500], [0.500, 0.500, 0.000]]
}

***

{
  "formula": "ZrNb2Cr2",
  "functional": "PBE-GGA",
  "state": "relaxed",
  "spacegroup": "P4/mbm (127)",
  "dft_energy_ev_per_fu": -46.45,
  "m_tot_mub_per_fu": 2.49,
  "lattice": [[7.363, 0.000, 0.000], [0.000, 7.363, 0.000], [0.000, 0.000, 3.194]],
  "species": ["Zr", "Zr", "Nb", "Nb", "Nb", "Nb", "Cr", "Cr", "Cr", "Cr"],
  "fractional_positions": [[0.000, 0.000, 0.000], [0.500, 0.500, 0.000], [0.153, 0.347, 0.500], [0.347, 0.847, 0.500], [0.653, 0.153, 0.500], [0.847, 0.653, 0.500], [0.132, 0.632, 0.000], [0.368, 0.132, 0.000], [0.632, 0.868, 0.000], [0.868, 0.368, 0.000]]
}

***

{
  "formula": "ZrNb3Cr",
  "functional": "PBE-GGA",
  "state": "relaxed",
  "spacegroup": "Pm-3m (221)",
  "dft_energy_ev_per_fu": -39.26,
  "m_tot_mub_per_fu": 3.58,
  "lattice": [[4.904, 0.000, 0.000], [0.000, 4.904, 0.000], [0.000, 0.000, 4.904]],
  "species": ["Zr", "Nb", "Nb", "Nb", "Cr"],
  "fractional_positions": [[0.000, 0.000, 0.000], [0.000, 0.000, 0.500], [0.000, 0.500, 0.000], [0.500, 0.000, 0.000], [0.500, 0.500, 0.500]]
}

***

{
  "formula": "Nd3Cr",
  "functional": "PBE-GGA",
  "state": "relaxed",
  "spacegroup": "I4/mmm (139)",
  "dft_energy_ev_per_fu": -22.50,
  "m_tot_mub_per_fu": 3.41,
  "lattice": [[-2.430, 2.430, 5.058], [2.430, -2.430, 5.058], [2.430, 2.430, -5.058]],
  "species": ["Nd", "Nd", "Nd", "Cr"],
  "fractional_positions": [[0.000, 0.000, 0.000], [0.250, 0.750, 0.500], [0.750, 0.250, 0.500], [0.500, 0.500, 0.000]]
}

***

{
  "formula": "NdCr4",
  "functional": "PBE-GGA",
  "state": "relaxed",
  "spacegroup": "Pm-3m (221)",
  "dft_energy_ev_per_fu": -32.73,
  "m_tot_mub_per_fu": 5.31,
  "lattice": [[4.857, 0.000, 0.000], [0.000, 4.857, 0.000], [0.000, 0.000, 4.857]],
  "species": ["Nd", "Cr", "Cr", "Cr", "Cr"],
  "fractional_positions": [[0.000, 0.000, 0.000], [0.000, 0.000, 0.500], [0.000, 0.500, 0.000], [0.500, 0.000, 0.000], [0.500, 0.500, 0.500]]
}

***

{
  "formula": "NdCrNi4",
  "functional": "PBE-GGA",
  "state": "relaxed",
  "spacegroup": "F-43m (216)",
  "dft_energy_ev_per_fu": -38.00,
  "m_tot_mub_per_fu": 5.32,
  "lattice": [[0.000, 3.517, 3.517], [3.517, 0.000, 3.517], [3.517, 3.517, 0.000]],
  "species": ["Nd", "Cr", "Ni", "Ni", "Ni", "Ni"],
  "fractional_positions": [[0.000, 0.000, 0.000], [0.250, 0.250, 0.250], [0.129, 0.624, 0.624], [0.624, 0.129, 0.624], [0.624, 0.624, 0.129], [0.624, 0.624, 0.624]]
}

***

Table of ΔE_f (eV/atom), in record order: 0.104; 0.186; 0.208; 0.186; 0.161; 1.241; 0.296; 1.823; 0.358; 2.107; -0.081